Material: BaLiCdIn2
Method: DFT, PBE
State: relaxed

abc: 5.237 5.237 5.233
angles: 90.00 90.00 90.00
Space group P4/mmm (No. 123)
Unique sites:
1 Ba 0.000 0.000 0.000 x1
2 Li 0.500 0.500 0.500 x1
3 Cd 0.500 0.500 0.000 x1
4 In 0.000 0.500 0.500 x2

Properties
V: 143.5 Å³ per cell
calculated formation energy: -0.205 eV per atom
energy above the most stable polymorph in this dataset: 0.116 eV per atom
total energy: -2.251 eV/atom



Material: Sr2SiPd2
Method: DFT, PBE
State: relaxed

abc: 7.037 7.037 4.721
angles: 90.00 90.00 90.00
Space group P4/mbm (No. 127)
Unique sites:
1 Sr 0.175 0.325 0.000 x4
2 Si 0.000 0.000 0.500 x2
3 Pd 0.144 0.644 0.500 x4

Properties
formation energy (no corrections): -0.443 eV/atom
V: 233.8 Å³ per cell
total energy: -4.277 eV/atom



Material: HoFe12B4
Method: DFT, PBE
State: relaxed

abc: 7.296 7.296 7.296
angles: 90.00 90.00 90.00
Space group Im-3 (No. 204)
Unique sites:
1 Ho 0.000 0.000 0.000 x2
2 Fe 0.000 0.175 0.339 x24
3 B 0.250 0.250 0.250 x8

Properties
V: 388.4 Å³ per cell
calculated formation energy: 0.053 eV per atom
total energy: -7.761 eV/atom



Material: Al2O3
Method: DFT, PBE
State: relaxed

abc: 4.8446 4.8446 9.0802
angles: 90.00 90.00 120.00
Space group P-31c (No. 163)
Unique sites:
1 Al 0.0000 0.0000 0.0000 x2
2 Al 0.3333 0.6667 0.0373 x4
3 Al 0.3333 0.6667 0.7500 x2
4 O 0.0316 0.3551 0.8880 x12

Properties
formation energy (no corrections): -2.937 eV/atom
V: 184.6 Å³ per cell
total energy: -7.409 eV/atom



Material: LiPr2TiO6
Method: DFT, PBE
State: relaxed

abc: 5.478 5.855 9.415
angles: 90.00 124.40 90.00
Space group P2_1/c (No. 14)
Unique sites:
1 Li 0.000 0.000 0.000 x2
2 Pr 0.231 0.070 0.748 x4
3 Ti 0.500 0.000 0.500 x2
4 O 0.162 0.183 0.455 x4
5 O 0.267 0.714 0.449 x4
6 O 0.351 0.030 0.257 x4

Properties
formation energy (no corrections): -2.863 eV/atom
V: 249.1 Å³ per cell
total energy: -7.775 eV/atom



Material: BeTl2Pt
Method: DFT, PBE
State: relaxed

abc: 6.877 6.877 6.877
angles: 90.00 90.00 90.00
Space group F-43m (No. 216)
Unique sites:
1 Be 0.000 0.000 0.000 x4
2 Tl 0.000 0.000 0.500 x4
3 Tl 0.250 0.250 0.250 x4
4 Pt 0.250 0.250 0.750 x4

Properties
V: 325.2 Å³ per cell
calculated formation energy: 0.504 eV per atom
energy above the most stable polymorph in this dataset: 0.594 eV per atom
total energy: -3.121 eV/atom